Compound: TaAu3N
Source: the Alexandria database
Functional: PBE
Structure: relaxed

energy above the most stable polymorph in this dataset = 0.000 eV per atom
energy relative to the elements, uncorrected = 1.142 eV per atom
volume = 84.7 Å³/cell

Structure (POSCAR):
```
TaAu3N
1.0
4.3924 0.0000 0.0000
0.0000 4.3924 0.0000
0.0000 0.0000 4.3924
N Au Ta
1 3 1
direct
0.0000 0.0000 0.0000
0.0000 0.5000 0.0000
0.0000 0.0000 0.5000
0.5000 0.0000 0.0000
0.5000 0.5000 0.5000
```



Compound: Ta2AuN
Source: the Alexandria database
Functional: PBE
Structure: relaxed

energy relative to the elements, uncorrected = -0.545 eV per atom
volume = 59.6 Å³/cell

Structure (POSCAR):
```
Ta2AuN
1.0
-1.8215 -0.1952 2.6045
-2.8952 -1.3137 -0.1767
1.0972 -6.5762 2.2210
N Au Ta
1 1 2
direct
0.5000 0.5000 0.5000
0.0000 0.0000 0.0000
0.7774 0.7774 0.6678
0.2226 0.2226 0.3322
```